Material: Ac2PaFeO6
Method: DFT, PBE with a Hubbard U
State: optimized geometry

Computed properties:
E, eV for the cell shown: -82.38
Calculated volume, Å³ per cell: 156

Unit cell a=5.919 b=5.919 c=5.919 alpha=63.00 beta=63.00 gamma=63.00
Fractional coordinates of all 10 atoms:
Ac: 0.234 0.234 0.234
Ac: 0.766 0.766 0.766
Pa: 0.500 0.500 0.500
Fe: 0.000 0.000 0.000
O: 0.150 0.344 0.767
O: 0.233 0.850 0.656
O: 0.344 0.767 0.150
O: 0.656 0.233 0.850
O: 0.767 0.150 0.344
O: 0.850 0.656 0.233